Here is crystalline ZnMo2IrO at its relaxed geometry from Alexandria via LeMat-Bulk. Energies are from PBE+U.

The value obtained for the final energy is -5.334 eV/atom. As for the volume: 73.55 Å³/f.u.

It has space group P4/mmm (No. 123), with a = 4.148 Å, b = 4.148 Å, c = 4.276 Å, α = 90.00°, β = 90.00° and γ = 90.00°. Symmetry generates all atoms from Zn at (0.000, 0.000, 0.000), Mo at (0.000, 0.500, 0.500), Ir at (0.500, 0.500, 0.000) and O at (0.500, 0.500, 0.500).